A plane-wave DFT calculation with PBE was carried out for Ce5HgGe2 after structural relaxation.

Output
Total moment = 7.0 μB per cell
Space-group type = Cmcm (63)
Total energy = -5.305 eV/atom
Calculated formation energy = -39 kJ/mol of atoms

The structure in POSCAR format:
```
Ce5HgGe2
1.0
-1.178 -0.151 -5.079
-0.774 -4.476 2.991
-15.762 5.069 3.505
Ce Hg Ge
10 2 4
Direct
0.910 0.819 0.900
0.910 0.819 0.600
0.436 0.872 0.430
0.436 0.872 0.070
0.765 0.529 0.250
0.235 0.471 0.750
0.564 0.128 0.570
0.564 0.128 0.930
0.090 0.181 0.100
0.090 0.181 0.400
0.558 0.116 0.750
0.442 0.884 0.250
0.767 0.534 0.428
0.767 0.534 0.072
0.233 0.466 0.572
0.233 0.466 0.928
```